# 1
Here is a geometry-optimized Dy3In2BRu3 structure from Alexandria. Energies are from PBE.

```
Dy3In2BRu3
1.0
7.6015 0.0000 0.0000
-3.8007 6.5831 0.0000
0.0000 0.0000 3.4922
Dy In B Ru
3 2 1 3
direct
0.0000 0.6580 0.0000
0.3420 0.3420 0.0000
0.6580 0.0000 0.0000
0.3333 0.6667 0.5000
0.6667 0.3333 0.5000
0.0000 0.0000 0.0000
0.0000 0.2160 0.5000
0.2160 0.0000 0.5000
0.7840 0.7840 0.5000
```

Output
* raw total energy: -56.67 eV/cell
* space-group type: P-62m (189)
* DOS at the Fermi energy: 0.55 states/eV/atom

# 2
Here is a geometry-optimized SmDy3Er7 structure from Alexandria. Energies are from PBE.

```
SmDy3Er7
1.0
6.2392 -5.5563 0.0000
6.2392 5.5563 0.0000
-2.6352 0.0000 5.1023
Sm Dy Er
1 3 7
direct
0.0000 0.0000 0.0000
0.2927 0.7073 0.5000
0.5000 0.5000 0.0000
0.7073 0.2927 0.5000
0.0000 0.0000 0.5000
0.0981 0.4877 0.7931
0.2939 0.2939 0.2947
0.4877 0.0981 0.7931
0.5123 0.9019 0.2069
0.7061 0.7061 0.7053
0.9019 0.5123 0.2069
```

Output
* raw total energy: -47.50 eV/cell
* space-group type: C2/m (12)
* polymorph energy (0 for the lowest one): 0.116 eV per atom
* DOS at the Fermi energy: 1.51 states/eV/atom

# 3
Here is a geometry-optimized MnTlZn2 structure from Alexandria. Energies are from PBE.

```
MnTlZn2
1.0
-2.0268 2.0268 4.2508
2.0268 -2.0268 4.2508
2.0268 2.0268 -4.2508
Mn Tl Zn
1 1 2
direct
0.0000 0.0000 0.0000
0.7500 0.2500 0.5000
0.2500 0.7500 0.5000
0.5000 0.5000 0.0000
```

Output
* raw total energy: -12.84 eV/cell
* space-group type: I-4m2 (119)
* polymorph energy (0 for the lowest one): 0.102 eV per atom
* DOS at the Fermi energy: 0.61 states/eV/atom

# 4
Here is a geometry-optimized PmNdCu2S4 structure from Alexandria. Energies are from PBE.

```
PmNdCu2S4
1.0
-3.3146 3.3341 3.7755
3.3146 -3.3341 3.7755
3.3146 3.3341 -3.7755
Pm Nd Cu S
1 1 2 4
direct
0.0000 0.0000 0.0000
0.5000 0.5000 0.0000
0.1744 0.6744 0.5000
0.8256 0.3256 0.5000
0.0235 0.0536 0.4941
0.4405 0.9464 0.9699
0.5595 0.5294 0.5059
0.9765 0.4706 0.0301
```

Output
* raw total energy: -43.95 eV/cell
* uncorrected formation energy: -117.4 kJ per mole of atoms
* space-group type: I222 (23)
* DOS at the Fermi energy: 0.21 states/eV/atom